[1]
First-principles (PBE-GGA) data for an optimized crystal structure of Sc4InAgPd2, as listed in the Alexandria database.

Computed properties:
Magnetic moment ... 0.00 μB/cell
E_tot ... -5.76 eV per atom
Formation enthalpy at 0 K ... -600 meV/atom
Fermi-level density of states ... 0.615 states/eV per atom

abc: 4.813 4.813 8.350
angles: 73.25 73.25 60.00
Atoms (fractional coordinates):
Sc  0.621  0.621  0.136
Sc  0.379  0.379  0.864
Ag  0.500  0.500  0.500
Pd  0.255  0.255  0.236
Sc  0.128  0.128  0.617
Sc  0.872  0.872  0.383
In  0.000  0.000  0.000
Pd  0.745  0.745  0.764

[2]
First-principles (PBE-GGA) data for an optimized crystal structure of B5C3, as listed in the Alexandria database.

Computed properties:
Magnetic moment ... 0.00 μB/cell
E_tot ... -7.31 eV per atom
Formation enthalpy at 0 K ... 319 meV/atom
Fermi-level density of states ... 0.123 states/eV per atom
Polymorph energy (0 for the lowest one) ... 0.40 eV per formula unit

abc: 4.151 4.151 4.973
angles: 79.18 79.18 38.18
Atoms (fractional coordinates):
C  0.807  0.807  0.955
B  0.728  0.728  0.319
B  0.078  0.078  0.650
B  0.491  0.491  0.478
B  0.567  0.567  0.110
C  0.007  0.007  0.984
B  0.288  0.288  0.794
C  0.284  0.284  0.460

[3]
First-principles (PBE-GGA) data for an optimized crystal structure of Mg6Ga2Pd, as listed in the Alexandria database.

Computed properties:
Magnetic moment ... 0.00 μB/cell
E_tot ... -2.50 eV per atom
Formation enthalpy at 0 K ... -188 meV/atom
Fermi-level density of states ... 0.409 states/eV per atom
Polymorph energy (0 for the lowest one) ... 0.88 eV per formula unit

abc: 4.574 6.440 7.864
angles: 114.17 106.90 90.00
Atoms (fractional coordinates):
Mg  0.500  0.761  0.000
Mg  0.836  0.083  0.674
Mg  0.164  0.917  0.326
Mg  0.500  0.239  0.000
Mg  0.164  0.409  0.326
Pd  0.000  0.000  0.000
Ga  0.334  0.334  0.668
Ga  0.666  0.666  0.332
Mg  0.836  0.591  0.674

[4]
First-principles (PBE-GGA) data for an optimized crystal structure of Ca2AcS, as listed in the Alexandria database.

Computed properties:
Magnetic moment ... 0.00 μB/cell
E_tot ... -3.92 eV per atom
Fermi-level density of states ... 1.009 states/eV per atom
Raw formation energy ... -3.456 eV per formula unit

abc: 3.869 3.869 11.110
angles: 79.97 79.97 60.00
Atoms (fractional coordinates):
S  0.500  0.500  0.500
Ca  0.886  0.886  0.343
Ca  0.114  0.114  0.657
Ac  0.000  0.000  0.000

[5]
First-principles (PBE-GGA) data for an optimized crystal structure of ScGeO3, as listed in the Alexandria database.

Computed properties:
Magnetic moment ... 1.00 μB/cell
E_tot ... -6.72 eV per atom
Fermi-level density of states ... 0.861 states/eV per atom
Raw formation energy ... -7.784 eV per formula unit

abc: 4.033 4.033 4.033
angles: 90.00 90.00 90.00
Atoms (fractional coordinates):
O  0.000  0.500  0.000
Sc  0.000  0.000  0.000
O  0.500  0.000  0.000
O  0.000  0.000  0.500
Ge  0.500  0.500  0.500